ZnH4Rh2 | PBE | relaxed

POSCAR file:
```
ZnH4Rh2
1.0
-4.200 -0.051 3.437
2.914 -4.586 -0.387
2.930 -1.477 4.346
H Rh Zn
8 4 2
Direct
0.804 0.566 0.383 H
0.018 0.241 0.489 H
0.897 0.584 0.837 H
0.518 0.506 0.723 H
0.837 0.171 0.178 H
0.402 0.734 0.181 H
0.338 0.015 0.832 H
0.303 0.185 0.263 H
0.900 0.875 0.474 Rh
0.054 0.578 0.119 Rh
0.400 0.374 0.475 Rh
0.554 0.173 0.023 Rh
0.865 0.955 0.933 Zn
0.360 0.793 0.590 Zn
```

Calculated values
size of the total moment: 0.000 μB/atom
energy above the most stable polymorph in this dataset: 0.000 eV per atom
SG: P1 (1)